Record 1
An optimized crystal structure of YFeCuBi, computed with GGA-PBE.

The value obtained for the energy above the most stable polymorph in this dataset is 0.0 meV/atom.

The space group is F-43m (No. 216) and the conventional cell measures 6.766, 6.766 and 6.766 Å, with angles of 90.00, 90.00 and 90.00 degrees. The distinct sites, in fractional coordinates, are Y at (0.000, 0.000, 0.000), Fe at (0.250, 0.250, 0.250), Cu at (0.250, 0.250, 0.750) and Bi at (0.000, 0.000, 0.500).

***

Record 2
An optimized crystal structure of CsLu, computed with GGA-PBE.

The final energy comes out at -1.332 eV per atom.

The space group is Fm-3m (No. 225) and the conventional cell measures 7.649, 7.649 and 7.649 Å, with angles of 90.00, 90.00 and 90.00 degrees. The distinct sites, in fractional coordinates, are Cs at (0.000, 0.000, 0.000) and Lu at (0.000, 0.000, 0.500).

***

Record 3
An optimized crystal structure of ZrTa2Sn, computed with GGA-PBE.

The final energy comes out at -9.056 eV per atom.

The space group is F-43m (No. 216) and the conventional cell measures 6.822, 6.822 and 6.822 Å, with angles of 90.00, 90.00 and 90.00 degrees. The distinct sites, in fractional coordinates, are Zr at (0.000, 0.000, 0.000), Ta at (0.000, 0.000, 0.500), Ta at (0.250, 0.250, 0.250) and Sn at (0.250, 0.250, 0.750).

***

Record 4
An optimized crystal structure of Sc4Al3W2N3, computed with GGA-PBE.

The final energy comes out at -8.167 eV per atom.

The space group is C2/c (No. 15) and the conventional cell measures 9.380, 5.452 and 14.033 Å, with angles of 90.00, 102.82 and 90.00 degrees. The distinct sites, in fractional coordinates, are Sc at (0.113, 0.082, 0.093), Sc at (0.218, 0.086, 0.407), Al at (0.000, 0.129, 0.750), Al at (0.144, 0.440, 0.249), W at (0.059, 0.415, 0.920), N at (0.084, 0.250, 0.500) and N at (0.250, 0.250, 0.000).